Here is a relaxed Pr4CdCo crystal from Alexandria via LeMat-Bulk. Energies are from PBE-GGA.

Cell lengths 9.8896, 9.8896, 9.8896 Å; angles 60.00, 60.00, 60.00 degrees
Element x y z (fractional)
Pr1 0.1894 0.1894 0.8106
Pr2 0.1894 0.8106 0.1894
Pr3 0.1894 0.8106 0.8106
Pr4 0.4034 0.4034 0.4034
Pr5 0.4034 0.4034 0.7900
Pr6 0.4034 0.7900 0.4034
Pr7 0.5603 0.5603 0.9397
Pr8 0.5603 0.9397 0.5603
Pr9 0.5603 0.9397 0.9397
Pr10 0.7900 0.4034 0.4034
Pr11 0.8106 0.1894 0.1894
Pr12 0.8106 0.1894 0.8106
Pr13 0.8106 0.8106 0.1894
Pr14 0.9397 0.5603 0.5603
Pr15 0.9397 0.5603 0.9397
Pr16 0.9397 0.9397 0.5603
Cd1 0.1707 0.1707 0.1707
Cd2 0.1707 0.1707 0.4879
Cd3 0.1707 0.4879 0.1707
Cd4 0.4879 0.1707 0.1707
Co1 0.1726 0.6091 0.6091
Co2 0.6091 0.1726 0.6091
Co3 0.6091 0.6091 0.1726
Co4 0.6091 0.6091 0.6091

Values from the calculation:
Space-group type = F-43m

---

Here is a relaxed Pr8CdCo2 crystal from Alexandria via LeMat-Bulk. Energies are from PBE-GGA.

Cell lengths 8.2059, 8.2059, 5.6931 Å; angles 97.44, 97.44, 116.73 degrees
Element x y z (fractional)
Pr1 0.0000 0.0000 0.0000
Pr2 0.2052 0.2052 0.6072
Pr3 0.2650 0.5210 0.2431
Pr4 0.3571 0.8498 0.8042
Pr5 0.5210 0.2650 0.2431
Pr6 0.6851 0.9412 0.3655
Pr7 0.8498 0.3571 0.8042
Pr8 0.9412 0.6851 0.3655
Cd1 0.6025 0.6025 0.8042
Co1 0.3152 0.8904 0.3039
Co2 0.8904 0.3152 0.3039

Values from the calculation:
Space-group type = Cm

---

Here is a relaxed Pr11Cd9Co4 crystal from Alexandria via LeMat-Bulk. Energies are from PBE-GGA.

Cell lengths 13.3887, 13.3887, 3.7600 Å; angles 90.00, 90.00, 112.57 degrees
Element x y z (fractional)
Pr1 0.0000 0.0000 0.0000
Pr2 0.0851 0.4182 0.0000
Pr3 0.1602 0.8398 0.0000
Pr4 0.3124 0.3124 0.0000
Pr5 0.3746 0.6254 0.0000
Pr6 0.4182 0.0851 0.0000
Pr7 0.5818 0.9149 0.0000
Pr8 0.6254 0.3746 0.0000
Pr9 0.6876 0.6876 0.0000
Pr10 0.8398 0.1602 0.0000
Pr11 0.9149 0.5818 0.0000
Cd1 0.0798 0.2189 0.5000
Cd2 0.1609 0.6346 0.5000
Cd3 0.2189 0.0798 0.5000
Cd4 0.3654 0.8391 0.5000
Cd5 0.5000 0.5000 0.5000
Cd6 0.6346 0.1609 0.5000
Cd7 0.7811 0.9202 0.5000
Cd8 0.8391 0.3654 0.5000
Cd9 0.9202 0.7811 0.5000
Co1 0.2507 0.4527 0.5000
Co2 0.4527 0.2507 0.5000
Co3 0.5473 0.7493 0.5000
Co4 0.7493 0.5473 0.5000

Values from the calculation:
Space-group type = Cmmm

---

Here is a relaxed PrSmCdCo crystal from Alexandria via LeMat-Bulk. Energies are from PBE-GGA.

Cell lengths 5.1991, 5.1991, 5.1991 Å; angles 60.00, 60.00, 60.00 degrees
Element x y z (fractional)
Pr1 0.0000 0.0000 0.0000
Sm1 0.5000 0.5000 0.5000
Cd1 0.7500 0.7500 0.7500
Co1 0.2500 0.2500 0.2500

Values from the calculation:
Space-group type = F-43m

---

Here is a relaxed TbPrCdCo crystal from Alexandria via LeMat-Bulk. Energies are from PBE-GGA.

Cell lengths 5.1568, 5.1568, 5.1568 Å; angles 60.00, 60.00, 60.00 degrees
Element x y z (fractional)
Tb1 0.0000 0.0000 0.0000
Pr1 0.5000 0.5000 0.5000
Cd1 0.2500 0.2500 0.2500
Co1 0.7500 0.7500 0.7500

Values from the calculation:
Space-group type = F-43m

---

Here is a relaxed Cd2CoPt crystal from Alexandria via LeMat-Bulk. Energies are from PBE-GGA.

Cell lengths 4.8435, 4.8435, 5.0810 Å; angles 99.79, 99.79, 34.75 degrees
Element x y z (fractional)
Cd1 0.2472 0.2472 0.2441
Cd2 0.7528 0.7528 0.7559
Co1 0.5000 0.5000 0.0000
Pt1 0.0000 0.0000 0.5000

Values from the calculation:
Space-group type = C2/m

---

Number 1: formation energy -1.032 eV/f.u.. Number 2: formation energy 0.059 eV/f.u.. Number 3: formation energy -5.764 eV/f.u.. Number 4: formation energy -0.196 eV/f.u.. Number 5: formation energy -0.271 eV/f.u.. Number 6: formation energy 0.397 eV/f.u..